# 1
{"formula": "Tb4Cd3Ag", "functional": "GGA-PBE", "state": "relaxed", "magmom_total_mub_per_fu": 0.0, "delta_e_f_mev_per_atom": -257, "final_energy_ev_per_cell": -26.2, "rho_kg_m3": 8525, "n_ef_per_ev_cell": 8.35, "lattice_angstrom": [[-2.444, 1.485, 2.142], [-3.180, 0.160, -3.740], [-4.029, -10.903, 2.959]], "species": ["Cd", "Tb", "Tb", "Tb", "Ag", "Cd", "Cd", "Tb"], "frac_coords": [[0.000, 0.000, 0.426], [0.500, 0.000, 0.661], [0.000, 0.000, 0.153], [0.000, 0.500, 0.848], [0.500, 0.500, 0.074], [0.500, 0.000, 0.929], [0.000, 0.500, 0.573], [0.500, 0.500, 0.336]]}

=====

# 2
{"formula": "Li2Dy2Co15", "functional": "GGA-PBE", "state": "relaxed", "magmom_total_mub_per_fu": 21.0, "delta_e_f_mev_per_atom": -77, "final_energy_ev_per_cell": -121.1, "rho_kg_m3": 8376, "n_ef_per_ev_cell": 19.85, "lattice_angstrom": [[6.226, -0.055, 0.752], [0.660, 6.191, 0.752], [-0.062, -0.055, 6.271]], "species": ["Co", "Co", "Co", "Dy", "Co", "Co", "Li", "Co", "Co", "Dy", "Co", "Co", "Li", "Co", "Co", "Co", "Co", "Co", "Co"], "frac_coords": [[0.000, 0.500, 0.000], [0.157, 0.652, 0.652], [0.000, 0.292, 0.708], [0.656, 0.656, 0.656], [0.708, 0.000, 0.292], [0.000, 0.000, 0.500], [0.097, 0.097, 0.097], [0.843, 0.348, 0.348], [0.000, 0.708, 0.292], [0.344, 0.344, 0.344], [0.348, 0.348, 0.843], [0.348, 0.843, 0.348], [0.903, 0.903, 0.903], [0.292, 0.708, 0.000], [0.500, 0.000, 0.000], [0.652, 0.157, 0.652], [0.652, 0.652, 0.157], [0.708, 0.292, 0.000], [0.292, 0.000, 0.708]]}